Entry 1:
# Zr4BiC2S

An optimized crystal structure of Zr4BiC2S (PBE, OQMD).

Space-group type   P-6m2, No. 187

```
Zr4BiC2S
1.0
3.438 0.000 0.000
-1.719 2.977 0.000
0.000 0.000 13.501
Bi C S Zr
1 2 1 4
Direct
0.000 0.000 0.500
0.667 0.333 0.228
0.667 0.333 0.772
0.333 0.667 0.000
0.000 0.000 0.135
0.333 0.667 0.317
0.333 0.667 0.683
0.000 0.000 0.865
```

Entry 2:
# ZrInNi2

An optimized crystal structure of ZrInNi2 (PBE, OQMD).

Space-group type   Pnma, No. 62

```
ZrInNi2
1.0
5.994 0.000 0.000
0.000 6.642 0.000
0.000 0.000 6.715
In Ni Zr
4 8 4
Direct
0.314 0.250 0.093
0.814 0.750 0.407
0.186 0.250 0.593
0.686 0.750 0.907
0.532 0.552 0.210
0.532 0.948 0.210
0.032 0.052 0.290
0.032 0.448 0.290
0.968 0.552 0.710
0.968 0.948 0.710
0.468 0.052 0.790
0.468 0.448 0.790
0.188 0.750 0.032
0.688 0.250 0.468
0.312 0.750 0.532
0.812 0.250 0.968
```

Entry 3:
# LuCuAgHg

An optimized crystal structure of LuCuAgHg (PBE, OQMD).

Space-group type   F-43m, No. 216
Energy relative to the elements   -0.1980 eV/atom
Distance to the lowest polymorph of the same formula   0 meV per atom

```
LuCuAgHg
1.0
0.000 3.369 3.369
3.369 0.000 3.369
3.369 3.369 0.000
Ag Cu Hg Lu
1 1 1 1
Direct
0.500 0.500 0.500
0.000 0.000 0.000
0.250 0.250 0.250
0.750 0.750 0.750
```

Number 1: E -8.60 eV/atom. Number 2: E -5.81 eV/atom. Number 3: E -3.04 eV/atom.